(1)
First-principles (SCAN) data for TaBeTlAu2 at its PBEsol-relaxed geometry, as listed in Alexandria.

The density of states at the Fermi level is 4.5 states/eV/cell. The value obtained for the total DFT energy (no corrections) is -276.968 eV/cell. The calculation puts the density at 10.715 g/cm³.

The space group is P4/mmm (No. 123) and the conventional cell measures 5.067, 5.067 and 4.758 Å, with angles of 90.00, 90.00 and 90.00 degrees. The inequivalent atoms are Ta at (0.000, 0.000, 0.000), Be at (0.000, 0.000, 0.500), Tl at (0.500, 0.500, 0.500) and Au at (0.000, 0.500, 0.000).

***

(2)
First-principles (SCAN) data for KCa2Mg at its PBEsol-relaxed geometry, as listed in Alexandria.

The density of states at the Fermi level is 6.8 states/eV/cell. The value obtained for the total DFT energy (no corrections) is -64.103 eV/cell. The calculation puts the density at 1.460 g/cm³.

The space group is Immm (No. 71) and the conventional cell measures 3.979, 6.464 and 12.695 Å, with angles of 90.00, 90.00 and 90.00 degrees. The inequivalent atoms are K at (0.000, 0.000, 0.000), Ca at (0.000, 0.500, 0.220) and Mg at (0.000, 0.000, 0.500).

***

(3)
First-principles (SCAN) data for Li2CrS4 at its PBEsol-relaxed geometry, as listed in Alexandria.

The density of states at the Fermi level is 5.7 states/eV/cell. The value obtained for the total DFT energy (no corrections) is -137.016 eV/cell. The calculation puts the density at 2.829 g/cm³. As for the raw formation energy: -0.9760 eV per atom.

The space group is C2/m (No. 12) and the conventional cell measures 13.073, 3.342 and 5.800 Å, with angles of 90.00, 115.91 and 90.00 degrees. The inequivalent atoms are Li at (0.208, 0.000, 0.235), Cr at (0.000, 0.500, 0.500), S at (0.064, 0.500, 0.946) and S at (0.135, 0.000, 0.563).